Entry 1:
This record from Alexandria describes a relaxed structure of Tb2PrEr3Se6. The functional is PBE.

abc: 7.0665 7.0665 7.1533
angles: 99.44 99.44 120.25
Sites, in units of the cell vectors:
Tb 0.1653 0.8347 0.0000
Tb 0.8347 0.1653 0.0000
Pr 0.5000 0.5000 0.0000
Er 0.0000 0.0000 0.5000
Er 0.3399 0.6601 0.5000
Er 0.6601 0.3399 0.5000
Se 0.0695 0.4130 0.7378
Se 0.2432 0.2432 0.2575
Se 0.4130 0.0695 0.7378
Se 0.5870 0.9305 0.2622
Se 0.7568 0.7568 0.7425
Se 0.9305 0.5870 0.2622

***

Entry 2:
This record from Alexandria describes a relaxed structure of TbPrEr4Se8. The functional is PBE.

abc: 8.4471 8.4471 8.4471
angles: 59.80 59.80 59.80
Sites, in units of the cell vectors:
Tb 0.0000 0.0000 0.0000
Pr 0.6249 0.6249 0.6249
Er 0.0000 0.0000 0.4959
Er 0.0000 0.4959 0.0000
Er 0.3735 0.3735 0.3735
Er 0.4959 0.0000 0.0000
Se 0.2142 0.7585 0.7585
Se 0.2417 0.2417 0.2417
Se 0.2447 0.2447 0.7682
Se 0.2447 0.7682 0.2447
Se 0.7585 0.2142 0.7585
Se 0.7585 0.7585 0.2142
Se 0.7618 0.7618 0.7618
Se 0.7682 0.2447 0.2447

***

Entry 3:
This record from Alexandria describes a relaxed structure of Tb2Pr3ErSe6. The functional is PBE.

abc: 7.1590 7.1590 7.3553
angles: 99.33 99.33 120.24
Sites, in units of the cell vectors:
Tb 0.1669 0.8331 0.0000
Tb 0.8331 0.1669 0.0000
Pr 0.0000 0.0000 0.5000
Pr 0.3308 0.6692 0.5000
Pr 0.6692 0.3308 0.5000
Er 0.5000 0.5000 0.0000
Se 0.0934 0.4228 0.7681
Se 0.2483 0.2483 0.2339
Se 0.4228 0.0934 0.7681
Se 0.5772 0.9066 0.2319
Se 0.7517 0.7517 0.7661
Se 0.9066 0.5772 0.2319

***

Entry 4:
This record from Alexandria describes a relaxed structure of Tb3Pr2ErSe6. The functional is PBE.

abc: 9.2592 9.2592 8.3505
angles: 102.94 102.94 25.70
Sites, in units of the cell vectors:
Tb 0.0000 0.0000 0.0000
Tb 0.3283 0.3283 0.6659
Tb 0.6717 0.6717 0.3341
Pr 0.3310 0.3310 0.1631
Pr 0.6690 0.6690 0.8369
Er 0.0000 0.0000 0.5000
Se 0.1620 0.1620 0.0918
Se 0.1627 0.1627 0.5715
Se 0.4956 0.4956 0.7432
Se 0.5044 0.5044 0.2568
Se 0.8373 0.8373 0.4285
Se 0.8380 0.8380 0.9082

***

Entry 5:
This record from Alexandria describes a relaxed structure of TbPr2ErSe5. The functional is PBE.

abc: 5.0823 5.0823 10.7561
angles: 90.00 90.00 90.00
Sites, in units of the cell vectors:
Tb 0.0000 0.0000 0.0000
Pr 0.5000 0.5000 0.3005
Pr 0.5000 0.5000 0.6995
Er 0.0000 0.0000 0.5000
Se 0.0000 0.0000 0.2463
Se 0.0000 0.0000 0.7537
Se 0.0000 0.5000 0.5000
Se 0.5000 0.0000 0.5000
Se 0.5000 0.5000 0.0000

***

Entry 6:
This record from Alexandria describes a relaxed structure of TbPr2ErSe6. The functional is PBE.

abc: 7.7849 7.7849 7.7849
angles: 56.59 56.59 56.59
Sites, in units of the cell vectors:
Tb 0.0000 0.0000 0.0000
Pr 0.2975 0.2975 0.2975
Pr 0.7979 0.7979 0.7979
Er 0.4993 0.4993 0.4993
Se 0.1179 0.3826 0.7145
Se 0.2184 0.8789 0.6155
Se 0.3826 0.7145 0.1179
Se 0.6155 0.2184 0.8789
Se 0.7145 0.1179 0.3826
Se 0.8789 0.6155 0.2184

***

Entry 7:
This record from Alexandria describes a relaxed structure of Pr2ErTe2Se2. The functional is PBE.

abc: 8.8880 8.8880 8.8880
angles: 145.56 145.56 49.50
Sites, in units of the cell vectors:
Pr 0.1193 0.1193 0.0000
Pr 0.8807 0.8807 0.0000
Er 0.5000 0.5000 0.0000
Te 0.3150 0.3150 0.0000
Te 0.6850 0.6850 0.0000
Se 0.0000 0.5000 0.5000
Se 0.5000 0.0000 0.5000

***

Entry 8:
This record from Alexandria describes a relaxed structure of PrErTeSe. The functional is PBE.

abc: 8.0057 8.0057 8.0057
angles: 29.93 29.93 29.93
Sites, in units of the cell vectors:
Pr 0.0000 0.0000 0.0000
Er 0.1619 0.1619 0.1619
Te 0.5751 0.5751 0.5751
Se 0.7545 0.7545 0.7545

***

Calculated energy relative to the elements, uncorrected, -20.97 -23.81 -21.64 -21.38 -11.82 -18.42 -9.65 -6.04 eV per formula unit (same order as the records).
Calculated energy, -69.61 -79.35 -70.71 -70.30 -47.99 -58.08 -37.03 -22.01 eV per formula unit (same order as the records).